{"formula": "RbBa3O4", "functional": "GGA-PBE", "state": "relaxed", "raw_formation_energy_mev_per_atom": -2042, "spacegroup": "P6_3/mmc, No. 194", "magnetic_moment_mub_per_fu": 1.1, "cell": [[3.988, 0.000, 0.000], [-1.994, 3.454, 0.000], [0.000, 0.000, 26.455]], "species": ["Rb", "Rb", "Ba", "Ba", "Ba", "Ba", "Ba", "Ba", "O", "O", "O", "O", "O", "O", "O", "O"], "frac_coords": [[0.333, 0.667, 0.250], [0.667, 0.333, 0.750], [0.000, 0.000, 0.000], [0.000, 0.000, 0.500], [0.333, 0.667, 0.625], [0.333, 0.667, 0.875], [0.667, 0.333, 0.125], [0.667, 0.333, 0.375], [0.000, 0.000, 0.173], [0.000, 0.000, 0.327], [0.000, 0.000, 0.673], [0.000, 0.000, 0.827], [0.333, 0.667, 0.058], [0.333, 0.667, 0.442], [0.667, 0.333, 0.558], [0.667, 0.333, 0.942]]}